SeBrCl2 (GGA-PBE, relaxed); crystal system = orthorhombic; energy relative to the lowest polymorph listed for this composition = 416.7 meV/atom; volume = 130.8 Å³/cell; D(E_F) = 1.23 states/eV per atom
1.0
3.7333 0.0000 0.0000
0.0000 4.3694 0.0000
0.0000 0.0000 8.0169
Cl Se Br
2 1 1
direct
0.0000 0.0000 0.9521
0.5000 0.5000 0.2027
0.0000 0.0000 0.6891
0.5000 0.5000 0.6562


SeBrCl (GGA-PBE, relaxed); crystal system = triclinic; energy relative to the lowest polymorph listed for this composition = 91.5 meV/atom; volume = 242.5 Å³/cell; D(E_F) = 0.00 states/eV per atom
1.0
5.4272 0.5834 0.0579
0.6792 5.1753 -0.3780
-2.8318 -2.6661 8.9046
Cl Br Se
2 2 2
direct
0.1081 0.5246 0.9684
0.3856 0.7466 0.5223
0.6297 0.1665 0.3053
0.2471 0.1001 0.7084
0.8214 0.2268 0.1292
0.7586 0.8607 0.9159


SeBr2Cl (GGA-PBE, relaxed); crystal system = monoclinic; energy relative to the lowest polymorph listed for this composition = 264.0 meV/atom; volume = 122.3 Å³/cell; D(E_F) = 0.75 states/eV per atom
1.0
-0.9236 -1.1144 4.0224
1.8609 -3.6775 1.1348
5.7959 3.6138 2.3810
Se Br Cl
1 2 1
direct
0.2500 0.2500 0.2500
0.5220 0.5220 0.4638
0.9780 0.9780 0.0362
0.7500 0.7500 0.7500


SeBrCl (GGA-PBE, relaxed); crystal system = triclinic; energy relative to the lowest polymorph listed for this composition = 83.0 meV/atom; volume = 238.8 Å³/cell
1.0
5.0841 0.4619 -0.2129
3.5317 9.2362 -0.4634
-0.1569 1.3308 5.2273
Cl Se Br
2 2 2
direct
0.8695 0.3276 0.8627
0.1005 0.7749 0.5476
0.9824 0.8562 0.1362
0.9877 0.2459 0.2740
0.3837 0.3152 0.3353
0.5867 0.7869 0.0751


SeBrCl2 (GGA-PBE, relaxed); crystal system = tetragonal; energy relative to the lowest polymorph listed for this composition = 888.7 meV/atom; volume = 86.3 Å³/cell; D(E_F) = 1.08 states/eV per atom
1.0
4.2894 0.0000 0.0000
0.0000 4.4856 0.0000
0.0000 0.0000 4.4856
Cl Se Br
2 1 1
direct
0.0000 0.5000 0.5000
0.0000 0.0000 0.0000
0.5000 0.5000 0.0000
0.5000 0.0000 0.5000


SeBrCl2 (GGA-PBE, relaxed); crystal system = monoclinic; energy relative to the lowest polymorph listed for this composition = 86.9 meV/atom; volume = 174.4 Å³/cell; D(E_F) = 0.02 states/eV per atom
1.0
4.6184 -1.8697 0.3274
0.4920 4.9582 0.3274
0.3696 0.2233 7.3687
Br Cl Se
1 2 1
direct
0.6381 0.6381 0.7281
0.0587 0.0587 0.8858
0.4911 0.4911 0.2933
0.3120 0.3120 0.5925


SeBr2Cl (GGA-PBE, relaxed); crystal system = tetragonal; energy relative to the lowest polymorph listed for this composition = 347.9 meV/atom; volume = 121.9 Å³/cell; D(E_F) = 0.79 states/eV per atom
1.0
5.5136 0.0677 0.1557
-1.2385 5.3801 0.0799
3.0365 1.8348 4.2229
Se Cl Br
1 1 2
direct
0.5000 0.5000 0.0000
0.0000 0.5000 0.5000
0.0000 0.0000 0.0000
0.5000 0.0000 0.5000


SeBrCl (GGA-PBE, relaxed); crystal system = triclinic; energy relative to the lowest polymorph listed for this composition = 6.7 meV/atom; volume = 244.8 Å³/cell; D(E_F) = 0.00 states/eV per atom
1.0
8.8108 -0.7231 0.2778
-1.2288 6.7323 0.5419
-3.0158 -2.3988 3.8631
Se Cl Br
2 2 2
direct
0.6350 0.2271 0.1745
0.5488 0.4512 0.9143
0.2844 0.4546 0.8709
0.3783 0.0229 0.5437
0.7829 0.8457 0.3484
0.8600 0.4946 0.7405


Se2BrCl (GGA-PBE, relaxed); crystal system = monoclinic; volume = 130.6 Å³/cell; D(E_F) = 0.13 states/eV per atom; uncorrected energy = -0.0956 hartree per atom
1.0
-3.3861 1.8902 -0.9203
0.6000 -1.5477 -5.3864
-3.0221 -4.8186 1.2226
Cl Br Se
1 1 2
direct
0.5000 0.7500 0.7500
0.5000 0.2500 0.2500
0.0000 0.3851 0.6205
0.0000 0.1149 0.8795


SeBr2Cl (GGA-PBE, relaxed); crystal system = tetragonal; energy relative to the lowest polymorph listed for this composition = 602.6 meV/atom; volume = 107.3 Å³/cell; D(E_F) = 0.99 states/eV per atom
1.0
3.2229 0.0000 0.0000
0.0000 3.2240 0.0000
0.0000 0.0000 10.3292
Br Cl Se
2 1 1
direct
0.0000 0.0000 0.9287
0.5000 0.5000 0.2370
0.0000 0.0000 0.5828
0.5000 0.5000 0.7514


Se2BrCl (GGA-PBE, relaxed); crystal system = trigonal; volume = 98.2 Å³/cell; D(E_F) = 0.35 states/eV per atom; uncorrected energy = -0.0764 hartree per atom
1.0
7.7793 -0.0200 -0.0120
6.8102 3.7602 -0.0120
6.8102 1.7459 3.3304
Br Se Cl
1 2 1
direct
0.2500 0.2500 0.2500
0.5065 0.5065 0.5065
0.9935 0.9935 0.9935
0.7500 0.7500 0.7500


SeBr2Cl (GGA-PBE, relaxed); crystal system = trigonal; energy relative to the lowest polymorph listed for this composition = 349.0 meV/atom; volume = 106.0 Å³/cell; D(E_F) = 0.56 states/eV per atom
1.0
-4.6715 1.3794 5.4952
-6.0919 -2.0620 3.5440
-2.9350 -2.3622 6.3031
Cl Se Br
1 1 2
direct
0.2500 0.2500 0.2500
0.7500 0.7500 0.7500
0.4853 0.4853 0.4853
0.0147 0.0147 0.0147


Se2BrCl (GGA-PBE, relaxed); crystal system = monoclinic; volume = 136.0 Å³/cell; D(E_F) = 0.85 states/eV per atom; uncorrected energy = -0.0856 hartree per atom
1.0
5.3858 0.2488 -0.3177
4.4439 3.0528 -0.3177
-4.7207 -1.5856 9.1720
Se Cl Br
2 1 1
direct
0.4906 0.4906 0.4878
0.0094 0.0094 0.0122
0.2500 0.2500 0.2500
0.7500 0.7500 0.7500


SeBr2Cl (GGA-PBE, relaxed); crystal system = tetragonal; energy relative to the lowest polymorph listed for this composition = 419.8 meV/atom; volume = 131.4 Å³/cell; D(E_F) = 0.54 states/eV per atom
1.0
3.9030 0.0000 0.0000
0.0000 3.9009 0.0000
0.0000 0.0000 8.6330
Br Cl Se
2 1 1
direct
0.5000 0.5000 0.0000
0.0000 0.0000 0.0000
0.5000 0.0000 0.5000
0.0000 0.5000 0.5000


Se2BrCl (GGA-PBE, relaxed); crystal system = trigonal; volume = 94.0 Å³/cell; D(E_F) = 0.81 states/eV per atom; uncorrected energy = -0.0799 hartree per atom
1.0
1.9484 0.0000 9.5311
-0.9742 1.6874 9.5311
-0.9742 -1.6874 9.5311
Se Cl Br
2 1 1
direct
0.0850 0.0850 0.0850
0.9150 0.9150 0.9150
0.0000 0.0000 0.0000
0.5000 0.5000 0.5000